Here is an optimized crystal structure of La4ScCd from the Alexandria database. Energies are from PBE.

a b c (Å): 6.5726 6.5726 6.5726
angles (deg): 60.00 60.00 60.00
Closest atoms and distances in Å follow each position.
Fractional coordinates of all 6 atoms:
La 0.8746 0.3751 0.3751  6 La 3.28-3.29
La 0.3751 0.3751 0.8746  6 La 3.28-3.29
La 0.3751 0.8746 0.3751  6 La 3.28-3.29
La 0.3751 0.3751 0.3751  6 La 3.28-3.29
Sc 0.7500 0.7500 0.7500  12 La 3.85, 4 Cd 4.02
Cd 0.0000 0.0000 0.0000  12 La 3.85, 4 Sc 4.02

Crystal system = cubic
Size of the total moment = 0.02 μB/f.u.
Offset from the most stable computed form = 0.3700 eV/atom



Here is an optimized crystal structure of La2ScCd from the Alexandria database. Energies are from PBE.

a b c (Å): 3.8960 3.8965 8.1772
angles (deg): 90.00 90.00 90.00
Closest atoms and distances in Å follow each position.
Fractional coordinates of all 4 atoms:
Sc 0.5000 0.5000 0.2500  8 La 3.46
Cd 0.5000 0.5000 0.7500  8 La 3.40
La 0.0000 0.0000 0.9939  4 Cd 3.40, 4 Sc 3.46
La 0.0000 0.0000 0.5061  4 Cd 3.40, 4 Sc 3.46

Crystal system = tetragonal
Calculated total energy = -4.3788 eV/atom
Size of the total moment = 0.00 μB/f.u.



Here is an optimized crystal structure of La2ScCd from the Alexandria database. Energies are from PBE.

a b c (Å): 6.5058 6.5058 6.5058
angles (deg): 144.72 130.72 62.05
Closest atoms and distances in Å follow each position.
Fractional coordinates of all 4 atoms:
Cd 0.7500 0.2500 0.5000  4 La 3.31, 4 Sc 3.35
La 0.9886 0.9886 0.0000  2 Cd 3.31, 4 La 3.36, 2 Sc 3.52
La 0.5114 0.5114 0.0000  2 Cd 3.31, 4 La 3.36, 2 Sc 3.52
Sc 0.2500 0.7500 0.5000  4 Cd 3.35, 4 La 3.52

Crystal system = orthorhombic
Calculated total energy = -4.2953 eV/atom
Size of the total moment = 0.00 μB/f.u.



Here is an optimized crystal structure of LaSc3Cd from the Alexandria database. Energies are from PBE.

a b c (Å): 5.3660 5.3660 5.3660
angles (deg): 90.00 90.00 90.00
Closest atoms and distances in Å follow each position.
Fractional coordinates of all 5 atoms:
Sc 0.0000 0.5000 0.0000  2 Cd 2.68
Sc 0.0000 0.0000 0.5000  2 Cd 2.68
Sc 0.5000 0.0000 0.0000  2 Cd 2.68
Cd 0.0000 0.0000 0.0000  6 Sc 2.68
La 0.5000 0.5000 0.5000  12 Sc 3.79

Crystal system = cubic
Size of the total moment = 0.00 μB/f.u.
Offset from the most stable computed form = 0.0000 eV/atom



Here is an optimized crystal structure of La2ScCd from the Alexandria database. Energies are from PBE.

a b c (Å): 6.0810 6.0810 6.0810
angles (deg): 133.18 133.18 68.37
Closest atoms and distances in Å follow each position.
Fractional coordinates of all 4 atoms:
Cd 0.7500 0.2500 0.5000  8 La 3.42-3.49, 4 Sc 3.49
La 0.0000 0.0000 0.0000  4 Sc 3.42, 4 La 3.49, 4 Cd 3.49
La 0.2500 0.7500 0.5000  4 Cd 3.42, 4 La 3.49, 4 Sc 3.49
Sc 0.5000 0.5000 0.0000  8 La 3.42-3.49, 4 Cd 3.49

Crystal system = tetragonal
Calculated total energy = -4.3342 eV/atom
Size of the total moment = 0.01 μB/f.u.



Here is an optimized crystal structure of LaScCd2 from the Alexandria database. Energies are from PBE.

a b c (Å): 3.6131 5.9219 6.5853
angles (deg): 51.32 90.00 90.00
Closest atoms and distances in Å follow each position.
Fractional coordinates of all 4 atoms:
Cd 0.0000 0.0000 0.0000  4 La 3.27, 2 Sc 3.29, 6 Cd 3.47-3.61
Cd 0.5000 0.5000 0.0000  4 Sc 3.27, 2 La 3.29, 6 Cd 3.47-3.61
La 0.5000 0.5000 0.5000  6 Cd 3.27-3.29, 4 Sc 3.47, 2 La 3.61
Sc 0.0000 0.0000 0.5000  6 Cd 3.27-3.29, 4 La 3.47, 2 Sc 3.61

Crystal system = monoclinic
Size of the total moment = 0.00 μB/f.u.
Offset from the most stable computed form = 0.2337 eV/atom



Here is an optimized crystal structure of La2ScCd from the Alexandria database. Energies are from PBE.

a b c (Å): 6.0115 6.0115 6.0115
angles (deg): 132.11 132.11 70.05
Closest atoms and distances in Å follow each position.
Fractional coordinates of all 4 atoms:
Sc 0.2500 0.7500 0.5000  4 Cd 3.45, 8 La 3.47
Cd 0.7500 0.2500 0.5000  4 Sc 3.45, 8 La 3.47
La 0.0000 0.0000 0.0000  4 La 3.45, 4 Cd 3.47, 4 Sc 3.47
La 0.5000 0.5000 0.0000  4 La 3.45, 4 Sc 3.47, 4 Cd 3.47

Crystal system = tetragonal
Calculated total energy = -4.3653 eV/atom
Size of the total moment = 0.00 μB/f.u.



Here is an optimized crystal structure of LaScCd2 from the Alexandria database. Energies are from PBE.

a b c (Å): 5.3103 5.3103 3.7697
angles (deg): 90.00 90.00 90.00
Closest atoms and distances in Å follow each position.
Fractional coordinates of all 4 atoms:
Sc 0.0000 0.5000 0.5000  8 Cd 3.26
Cd 0.0000 0.0000 0.0000  4 La 3.26, 4 Sc 3.26
Cd 0.5000 0.5000 0.0000  4 La 3.26, 4 Sc 3.26
La 0.5000 0.0000 0.5000  8 Cd 3.26

Crystal system = tetragonal
Size of the total moment = 0.63 μB/f.u.
Offset from the most stable computed form = 0.0796 eV/atom



Here is an optimized crystal structure of LaScCd2 from the Alexandria database. Energies are from PBE.

a b c (Å): 5.3025 5.3025 6.4973
angles (deg): 79.10 79.10 38.39
Closest atoms and distances in Å follow each position.
Fractional coordinates of all 4 atoms:
Cd 0.9906 0.9906 0.0475  3 Sc 3.05-3.14, 2 Cd 3.19, 3 La 3.38-3.39
Cd 0.5094 0.5094 0.4525  3 Sc 3.05-3.14, 2 Cd 3.19, 3 La 3.38-3.39
La 0.7500 0.7500 0.7500  6 Cd 3.38-3.39, 2 La 3.49, 4 Sc 3.69
Sc 0.2500 0.2500 0.2500  6 Cd 3.05-3.14

Crystal system = monoclinic
Size of the total moment = 0.00 μB/f.u.
Offset from the most stable computed form = 0.1772 eV/atom



Here is an optimized crystal structure of LaSc2Cd3 from the Alexandria database. Energies are from PBE.

a b c (Å): 3.5760 3.5760 11.5417
angles (deg): 90.00 90.00 90.00
Closest atoms and distances in Å follow each position.
Fractional coordinates of all 6 atoms:
La 0.5000 0.5000 0.5000  8 Cd 3.43, 4 La 3.58
Sc 0.5000 0.5000 0.8489  8 Cd 3.05-3.07
Sc 0.5000 0.5000 0.1511  8 Cd 3.05-3.07
Cd 0.0000 0.0000 0.0000  8 Sc 3.07
Cd 0.0000 0.0000 0.7008  4 Sc 3.05
Cd 0.0000 0.0000 0.2992  4 Sc 3.05

Crystal system = tetragonal
Calculated total energy = -3.6805 eV/atom
Size of the total moment = 0.51 μB/f.u.



Here is an optimized crystal structure of LaScCd2 from the Alexandria database. Energies are from PBE.

a b c (Å): 10.4147 10.4147 10.4147
angles (deg): 19.39 19.39 19.39
Closest atoms and distances in Å follow each position.
Fractional coordinates of all 4 atoms:
Cd 0.9992 0.9992 0.9992  3 Cd 3.04, 3 Sc 3.08
Cd 0.2583 0.2583 0.2583  3 Cd 3.04
La 0.5007 0.5007 0.5007  3 Cd 3.44, 3 Sc 3.48, 6 La 3.51
Sc 0.7417 0.7417 0.7417  3 Cd 3.08

Crystal system = trigonal
Size of the total moment = 0.56 μB/f.u.
Offset from the most stable computed form = 0.2854 eV/atom



Here is an optimized crystal structure of LaScCd2 from the Alexandria database. Energies are from PBE.

a b c (Å): 3.7765 3.7769 7.4727
angles (deg): 90.00 90.00 90.00
Closest atoms and distances in Å follow each position.
Fractional coordinates of all 4 atoms:
Cd 0.0000 0.0000 0.9935  4 Sc 3.06, 4 Cd 3.15
Cd 0.5000 0.5000 0.2183  4 Cd 3.15, 1 Sc 3.17, 4 La 3.38
La 0.0000 0.0000 0.4946  6 Cd 3.38-3.74, 4 Sc 3.48, 4 La 3.78
Sc 0.5000 0.5000 0.7936  5 Cd 3.06-3.17

Crystal system = tetragonal
Size of the total moment = 0.59 μB/f.u.
Offset from the most stable computed form = 0.1651 eV/atom